A plane-wave DFT calculation with PBE-GGA was carried out for crystalline CsGe2Br5 at its relaxed geometry.

The structure in extended XYZ format:
```
16
Lattice="-1.328 -3.451 -4.328 -2.755 -2.031 6.207 -12.401 8.277 -2.795" Properties=species:S:1:pos:R:3 pbc="T T T"
Cs -12.617 2.564 1.826
Cs -3.867 0.231 -2.742
Ge -8.538 -0.814 -0.475
Ge -3.909 -3.904 0.568
Ge -7.945 3.610 -0.441
Ge -12.574 6.699 -1.484
Br -14.761 2.329 -1.072
Br -11.232 -0.027 -0.277
Br -7.926 1.140 1.522
Br -2.974 -2.165 2.638
Br -5.899 -2.002 -0.338
Br -10.584 4.798 -0.579
Br -8.557 1.656 -2.438
Br -13.510 4.961 -3.554
Br -1.722 0.467 0.156
Br -5.251 2.822 -0.639
```

Computed properties:
uncorrected formation energy	-0.871	eV/atom
offset from the most stable computed form	0.0	kJ/mol of atoms
volume	280.3	Å³/f.u.
VASP energy	-3.177	eV per atom